20
Lattice="-4.5541 -3.0318 1.4073 3.3610 -4.8619 0.4023 5.6426 4.4348 6.4542" Properties=species:S:1:pos:R:3 comment="Nd2YIrO6, optimized geometry, DFT PBE" polymorph_energy_ev_per_atom=0.000 sg="P2_1/c (14)" pbc="T T T"
O 2.8570 -4.6736 2.4240
Ir 4.5018 -0.2136 3.4283
O -0.4153 -5.9602 1.7865
O 1.5924 1.2147 5.8398
O 7.1105 0.3951 6.5216
O -0.1694 -1.1599 4.9300
O 2.0270 -3.1946 4.9682
Nd 2.2844 -2.3313 2.1409
O 4.6189 -2.2990 3.3339
O 4.3418 -0.5229 5.4912
O 4.8647 2.5013 6.4774
Y 0.5442 0.7015 3.9308
Y -0.5966 -3.9468 0.9048
Nd -1.8914 -1.5584 2.7480
Nd 2.1650 -1.1276 6.1230
O -2.6611 -3.8541 1.7423
O 2.4224 -0.2643 3.2957
O 0.1076 -2.9360 2.7727
Ir 0.0000 0.0000 0.0000
Nd 6.3408 -1.9005 5.5159